[1]
Compound: LuZr2V
Source: Alexandria via LeMat-Bulk
Functional: PBE
Structure: relaxed

The structure in CIF format:
```
data_LuZr2V
_cell_length_a 3.2343
_cell_length_b 3.2343
_cell_length_c 29.6327
_cell_angle_alpha 90.00
_cell_angle_beta 90.00
_cell_angle_gamma 120.00
_space_group_name_H-M_alt 'R -3 m'
_space_group_IT_number 166
_space_group_name_Hall '-R 3 2"'
loop_
_atom_site_label
_atom_site_type_symbol
_atom_site_fract_x
_atom_site_fract_y
_atom_site_fract_z
_atom_site_occupancy
Lu1 Lu 0.0000 0.0000 0.0000 1
Zr1 Zr 0.0000 0.0000 0.2389 1
V1 V 0.0000 0.0000 0.5000 1
```

Results
Formation enthalpy at 0 K (eV/atom): 0.277
Distance to the lowest polymorph of the same formula (kJ/mol of atoms): 10.7
Total energy (eV/atom): -7.407

=====

[2]
Compound: Ba2NaYW
Source: Alexandria via LeMat-Bulk
Functional: PBE
Structure: relaxed

The structure in CIF format:
```
data_Ba2NaYW
_cell_length_a 6.055
_cell_length_b 6.055
_cell_length_c 5.431
_cell_angle_alpha 90.00
_cell_angle_beta 90.00
_cell_angle_gamma 90.00
_space_group_name_H-M_alt 'P 4/m m m'
_space_group_IT_number 123
_space_group_name_Hall '-P 4 2'
loop_
_atom_site_label
_atom_site_type_symbol
_atom_site_fract_x
_atom_site_fract_y
_atom_site_fract_z
_atom_site_occupancy
Ba1 Ba 0.000 0.500 0.000 1
Na1 Na 0.000 0.000 0.000 1
Y1 Y 0.500 0.500 0.500 1
W1 W 0.000 0.000 0.500 1
```

Results
Formation enthalpy at 0 K (eV/atom): 1.510
Total energy (eV/atom): -3.406

=====

[3]
Compound: ZrCd2Tc
Source: Alexandria via LeMat-Bulk
Functional: PBE
Structure: relaxed

The structure in CIF format:
```
data_ZrCd2Tc
_cell_length_a 3.935
_cell_length_b 3.935
_cell_length_c 21.406
_cell_angle_alpha 90.00
_cell_angle_beta 90.00
_cell_angle_gamma 90.00
_space_group_name_H-M_alt 'I -4 2 d'
_space_group_IT_number 122
_space_group_name_Hall 'I -4 2bw'
loop_
_atom_site_label
_atom_site_type_symbol
_atom_site_fract_x
_atom_site_fract_y
_atom_site_fract_z
_atom_site_occupancy
Zr1 Zr 0.000 0.000 0.000 1
Cd1 Cd 0.238 0.250 0.625 1
Tc1 Tc 0.000 0.000 0.500 1
```

Results
Formation enthalpy at 0 K (eV/atom): 0.386
Distance to the lowest polymorph of the same formula (kJ/mol of atoms): 37.4
Total energy (eV/atom): -4.800

=====

[4]
Compound: SmTl2Au
Source: Alexandria via LeMat-Bulk
Functional: PBE
Structure: relaxed

The structure in CIF format:
```
data_SmTl2Au
_cell_length_a 4.618
_cell_length_b 4.618
_cell_length_c 4.743
_cell_angle_alpha 90.00
_cell_angle_beta 90.00
_cell_angle_gamma 90.00
_space_group_name_H-M_alt 'P 4/m m m'
_space_group_IT_number 123
_space_group_name_Hall '-P 4 2'
loop_
_atom_site_label
_atom_site_type_symbol
_atom_site_fract_x
_atom_site_fract_y
_atom_site_fract_z
_atom_site_occupancy
Sm1 Sm 0.000 0.000 0.000 1
Tl1 Tl 0.000 0.500 0.500 1
Au1 Au 0.500 0.500 0.000 1
```

Results
Formation enthalpy at 0 K (eV/atom): -0.350
Distance to the lowest polymorph of the same formula (kJ/mol of atoms): 0.0
Total energy (eV/atom): -3.532

=====

[5]
Compound: SrLiTc2
Source: Alexandria via LeMat-Bulk
Functional: PBE
Structure: relaxed

The structure in CIF format:
```
data_SrLiTc2
_cell_length_a 2.682
_cell_length_b 2.682
_cell_length_c 9.779
_cell_angle_alpha 90.00
_cell_angle_beta 90.00
_cell_angle_gamma 90.00
_space_group_name_H-M_alt 'P 4/m m m'
_space_group_IT_number 123
_space_group_name_Hall '-P 4 2'
loop_
_atom_site_label
_atom_site_type_symbol
_atom_site_fract_x
_atom_site_fract_y
_atom_site_fract_z
_atom_site_occupancy
Sr1 Sr 0.000 0.000 0.000 1
Li1 Li 0.000 0.000 0.500 1
Tc1 Tc 0.500 0.500 0.275 1
```

Results
Formation enthalpy at 0 K (eV/atom): 0.847
Distance to the lowest polymorph of the same formula (kJ/mol of atoms): 46.4
Total energy (eV/atom): -5.235

=====

[6]
Compound: Rb3SrMg2Br9
Source: Alexandria via LeMat-Bulk
Functional: PBE
Structure: relaxed

The structure in CIF format:
```
data_Rb3SrMg2Br9
_cell_length_a 7.8461
_cell_length_b 7.8461
_cell_length_c 9.8394
_cell_angle_alpha 90.00
_cell_angle_beta 90.00
_cell_angle_gamma 120.00
_space_group_name_H-M_alt 'P -3 m 1'
_space_group_IT_number 164
_space_group_name_Hall '-P 3 2"'
loop_
_atom_site_label
_atom_site_type_symbol
_atom_site_fract_x
_atom_site_fract_y
_atom_site_fract_z
_atom_site_occupancy
Rb1 Rb 0.0000 0.0000 0.0000 1
Rb2 Rb 0.3333 0.6667 0.6966 1
Sr1 Sr 0.0000 0.0000 0.5000 1
Mg1 Mg 0.3333 0.6667 0.1578 1
Br1 Br 0.0000 0.5000 0.0000 1
Br2 Br 0.1737 0.3473 0.3137 1
```

Results
Total energy (eV/atom): -3.213
Raw formation energy (meV per atom): -1691

=====

[7]
Compound: Ta2SiBiPd
Source: Alexandria via LeMat-Bulk
Functional: PBE
Structure: relaxed

The structure in CIF format:
```
data_Ta2SiBiPd
_cell_length_a 4.685
_cell_length_b 4.685
_cell_length_c 5.223
_cell_angle_alpha 90.00
_cell_angle_beta 90.00
_cell_angle_gamma 90.00
_space_group_name_H-M_alt 'P 4/m m m'
_space_group_IT_number 123
_space_group_name_Hall '-P 4 2'
loop_
_atom_site_label
_atom_site_type_symbol
_atom_site_fract_x
_atom_site_fract_y
_atom_site_fract_z
_atom_site_occupancy
Ta1 Ta 0.000 0.500 0.000 1
Si1 Si 0.000 0.000 0.000 1
Bi1 Bi 0.000 0.000 0.500 1
Pd1 Pd 0.500 0.500 0.500 1
```

Results
Total energy (eV/atom): -6.579
Raw formation energy (meV per atom): 1062

=====

[8]
Compound: KAlTl
Source: Alexandria via LeMat-Bulk
Functional: PBE
Structure: relaxed

The structure in CIF format:
```
data_KAlTl
_cell_length_a 7.747
_cell_length_b 7.747
_cell_length_c 7.747
_cell_angle_alpha 90.00
_cell_angle_beta 90.00
_cell_angle_gamma 90.00
_space_group_name_H-M_alt 'F -4 3 m'
_space_group_IT_number 216
_space_group_name_Hall 'F -4 2 3'
loop_
_atom_site_label
_atom_site_type_symbol
_atom_site_fract_x
_atom_site_fract_y
_atom_site_fract_z
_atom_site_occupancy
K1 K 0.000 0.000 0.000 1
Al1 Al 0.250 0.250 0.750 1
Tl1 Tl 0.250 0.250 0.250 1
```

Results
Formation enthalpy at 0 K (eV/atom): 0.681
Distance to the lowest polymorph of the same formula (kJ/mol of atoms): 64.3
Total energy (eV/atom): -1.721

=====

Please write out number 1 again, unchanged.
Compound: LuZr2V
Source: Alexandria via LeMat-Bulk
Functional: PBE
Structure: relaxed

The structure in CIF format:
```
data_LuZr2V
_cell_length_a 3.2343
_cell_length_b 3.2343
_cell_length_c 29.6327
_cell_angle_alpha 90.00
_cell_angle_beta 90.00
_cell_angle_gamma 120.00
_space_group_name_H-M_alt 'R -3 m'
_space_group_IT_number 166
_space_group_name_Hall '-R 3 2"'
loop_
_atom_site_label
_atom_site_type_symbol
_atom_site_fract_x
_atom_site_fract_y
_atom_site_fract_z
_atom_site_occupancy
Lu1 Lu 0.0000 0.0000 0.0000 1
Zr1 Zr 0.0000 0.0000 0.2389 1
V1 V 0.0000 0.0000 0.5000 1
```

Results
Formation enthalpy at 0 K (eV/atom): 0.277
Distance to the lowest polymorph of the same formula (kJ/mol of atoms): 10.7
Total energy (eV/atom): -7.407

=====

Question: What is the formula in the seventh record?
Answer: Ta2SiBiPd

=====

Question: What is the total energy in the fifth record?
Answer: -5.235 eV/atom